## Y4TaAl (PBE)

Data for a relaxed Y4TaAl crystal.

Calculated values
Total moment, μB per cell: 0.4
VASP energy, eV per atom: -6.20
Fermi-level density of states, states/eV/atom: 1.118

Structure (POSCAR):
```
Y4TaAl
1.0
-1.993 -4.613 3.436
-3.488 1.112 4.863
-5.894 -1.522 -0.069
Y Al Ta
4 1 1
Direct
0.374 0.879 0.374 Y
0.374 0.374 0.374 Y
0.879 0.374 0.374 Y
0.374 0.374 0.879 Y
0.750 0.750 0.750 Al
0.000 0.000 0.000 Ta
```